Material: TbPm15Dy4
Method: DFT, PBE
State: optimized geometry

a = 5.130 Å, b = 5.130 Å, c = 25.563 Å
α = 90.00°, β = 90.00°, γ = 90.00°
Fractional coordinates of all 20 atoms:
Pm 0.000 0.500 0.900
Pm 0.500 0.000 0.500
Pm 0.000 0.500 0.700
Pm 0.500 0.000 0.300
Pm 0.500 0.000 0.900
Pm 0.500 0.500 0.200
Pm 0.000 0.500 0.500
Pm 0.000 0.500 0.100
Pm 0.500 0.000 0.700
Pm 0.500 0.500 0.800
Pm 0.500 0.500 0.000
Pm 0.500 0.500 0.400
Pm 0.000 0.500 0.300
Pm 0.500 0.000 0.100
Pm 0.500 0.500 0.600
Tb 0.000 0.000 0.000
Dy 0.000 0.000 0.400
Dy 0.000 0.000 0.800
Dy 0.000 0.000 0.200
Dy 0.000 0.000 0.600

Summary:
For the density, the calculation gives 7.4 g/cm3. The density of states at the Fermi level is 1.3677 states/eV/atom. The total magnetization is 0.0 Bohr magnetons per cell. For the formation energy, the calculation gives 0.014 eV per atom. As for the space group: No. 123.


Material: Pr4GeSI2
Method: DFT, PBE
State: optimized geometry

a = 4.314 Å, b = 7.372 Å, c = 8.181 Å
α = 108.00°, β = 90.00°, γ = 90.00°
Fractional coordinates of all 8 atoms:
S 0.500 0.500 0.000
I 0.000 0.500 0.500
I 0.500 0.000 0.500
Ge 0.000 0.000 0.000
Pr 0.500 0.758 0.806
Pr 0.000 0.280 0.811
Pr 0.500 0.242 0.194
Pr 0.000 0.720 0.189

Summary:
For the density, the calculation gives 6.2 g/cm3. The density of states at the Fermi level is 0.4761 states/eV/atom. As for the final energy: -41.2 eV per cell. The total magnetization is 0.0 Bohr magnetons per cell. As for the space group: No. 10.


Material: HoMnNiPt
Method: DFT, PBE
State: optimized geometry

a = 4.600 Å, b = 4.600 Å, c = 4.600 Å
α = 60.00°, β = 60.00°, γ = 60.00°
Fractional coordinates of all 4 atoms:
Mn 0.000 0.000 0.000
Pt 0.750 0.750 0.750
Ni 0.250 0.250 0.250
Ho 0.500 0.500 0.500

Summary:
For the density, the calculation gives 11.4 g/cm3. The density of states at the Fermi level is 0.6395 states/eV/atom. The total magnetization is 4.6 Bohr magnetons per cell. For the formation energy, the calculation gives -0.454 eV per atom. As for the space group: No. 216.


Material: K2Cd4Ag3
Method: DFT, PBE
State: optimized geometry

a = 6.000 Å, b = 5.984 Å, c = 7.955 Å
α = 79.10°, β = 67.85°, γ = 59.91°
Fractional coordinates of all 9 atoms:
Cd 0.000 0.334 0.667
Cd 0.000 0.666 0.333
Cd 0.333 0.666 0.667
Cd 0.667 0.334 0.333
K 0.626 0.000 0.748
K 0.374 0.000 0.252
Ag 0.500 0.500 0.000
Ag 0.000 0.500 0.000
Ag 0.000 0.000 0.000

Summary:
For the density, the calculation gives 6.2 g/cm3. The density of states at the Fermi level is 0.4137 states/eV/atom. The total magnetization is 0.0 Bohr magnetons per cell. For the formation energy, the calculation gives -0.024 eV per atom. As for the space group: No. 69.


Material: FePdI5
Method: DFT, PBE
State: optimized geometry

a = 7.788 Å, b = 7.789 Å, c = 11.345 Å
α = 118.20°, β = 115.16°, γ = 72.11°
Fractional coordinates of all 14 atoms:
I 0.912 0.164 0.249
I 0.390 0.325 0.559
I 0.957 0.300 0.631
I 0.234 0.669 0.058
I 0.086 0.838 0.749
I 0.041 0.703 0.368
I 0.764 0.333 0.940
I 0.666 0.828 0.868
I 0.332 0.175 0.131
I 0.608 0.677 0.440
Pd 0.999 0.501 0.499
Pd 0.999 0.001 0.999
Fe 0.298 0.551 0.249
Fe 0.700 0.452 0.749

Summary:
For the density, the calculation gives 4.9 g/cm3. The density of states at the Fermi level is 0.4138 states/eV/atom. As for the final energy: -45.1 eV per cell. The total magnetization is 7.2 Bohr magnetons per cell. As for the space group: No. 15.


Material: In2Co2W
Method: DFT, PBE
State: optimized geometry

a = 6.298 Å, b = 6.298 Å, c = 4.056 Å
α = 90.00°, β = 90.00°, γ = 90.00°
Fractional coordinates of all 10 atoms:
In 0.327 0.173 0.500
In 0.827 0.327 0.500
In 0.173 0.673 0.500
In 0.673 0.827 0.500
Co 0.132 0.368 0.000
Co 0.868 0.632 0.000
Co 0.368 0.868 0.000
Co 0.632 0.132 0.000
W 0.500 0.500 0.000
W 0.000 0.000 0.000

Summary:
For the density, the calculation gives 11.0 g/cm3. The density of states at the Fermi level is 0.7237 states/eV/atom. The total magnetization is 0.0 Bohr magnetons per cell. For the formation energy, the calculation gives 0.346 eV per atom. As for the space group: No. 127.


Material: AgGePt3
Method: DFT, PBE
State: optimized geometry

a = 6.753 Å, b = 7.414 Å, c = 6.954 Å
α = 98.33°, β = 90.00°, γ = 90.00°
Fractional coordinates of all 20 atoms:
Pt 0.494 0.680 0.036
Pt 0.521 0.942 0.788
Pt 0.365 0.218 0.588
Pt 0.021 0.058 0.712
Pt 0.006 0.680 0.536
Pt 0.994 0.320 0.464
Pt 0.865 0.782 0.912
Pt 0.135 0.218 0.088
Pt 0.635 0.782 0.412
Pt 0.506 0.320 0.964
Pt 0.479 0.058 0.212
Pt 0.979 0.942 0.288
Ge 0.211 0.872 0.975
Ge 0.289 0.872 0.475
Ge 0.711 0.128 0.525
Ge 0.789 0.128 0.025
Ag 0.646 0.514 0.663
Ag 0.354 0.486 0.337
Ag 0.146 0.486 0.837
Ag 0.854 0.514 0.163

Summary:
For the density, the calculation gives 14.8 g/cm3. The density of states at the Fermi level is 0.5110 states/eV/atom. The total magnetization is 0.0 Bohr magnetons per cell. For the formation energy, the calculation gives -0.129 eV per atom. As for the space group: No. 14. The calculation puts the energy above the most stable polymorph in this dataset at 0.0 meV per atom.


Material: Na2AuBr4
Method: DFT, PBE
State: optimized geometry

a = 5.469 Å, b = 5.469 Å, c = 8.352 Å
α = 70.89°, β = 70.89°, γ = 90.00°
Fractional coordinates of all 7 atoms:
Na 0.372 0.372 0.256
Na 0.628 0.628 0.744
Br 0.178 0.178 0.644
Br 0.822 0.822 0.356
Br 0.500 0.000 0.000
Br 0.000 0.500 0.000
Au 0.000 0.000 0.000

Summary:
For the density, the calculation gives 4.2 g/cm3. The density of states at the Fermi level is 0.6758 states/eV/atom. The total magnetization is 0.0 Bohr magnetons per cell. As for the space group: No. 139. The calculation puts the energy above the most stable polymorph in this dataset at 98.0 meV per atom.